Record 1
Density functional theory data (GGA-PBE) for a relaxed structure of TlCd2Pt.

abc: 4.1904 8.7063 5.3089
angles: 90.00 112.99 90.00
Sites, in units of the cell vectors:
Tl (0.0508, 0.2500, 0.0991)
Tl (0.9492, 0.7500, 0.9009)
Cd (0.3523, 0.0563, 0.7067)
Cd (0.3523, 0.4437, 0.7067)
Cd (0.6477, 0.5563, 0.2933)
Cd (0.6477, 0.9437, 0.2933)
Pt (0.2473, 0.7500, 0.4933)
Pt (0.7527, 0.2500, 0.5067)

The calculation puts the energy of formation at -0.1562 eV/atom. The value obtained for the total magnetization is 0.00 μB per formula unit.

***

Record 2
Density functional theory data (GGA-PBE) for a relaxed structure of Tb5Ho4Er3.

abc: 8.5102 8.5102 9.1946
angles: 114.98 114.98 40.01
Sites, in units of the cell vectors:
Tb (0.0000, 0.0000, 0.0000)
Tb (0.3266, 0.3266, 0.6141)
Tb (0.4252, 0.4252, 0.2984)
Tb (0.5748, 0.5748, 0.7016)
Tb (0.6734, 0.6734, 0.3859)
Ho (0.0804, 0.0804, 0.4393)
Ho (0.2143, 0.2143, 0.8782)
Ho (0.7857, 0.7857, 0.1218)
Ho (0.9196, 0.9196, 0.5607)
Er (0.2090, 0.2090, 0.2302)
Er (0.5000, 0.5000, 0.0000)
Er (0.7910, 0.7910, 0.7698)

The calculation puts the energy of formation at 0.2424 eV/atom. The value obtained for the total magnetization is 0.41 μB per formula unit.

***

Record 3
Density functional theory data (GGA-PBE) for a relaxed structure of TbTmAl4.

abc: 5.5441 5.5441 5.5441
angles: 60.00 60.00 60.00
Sites, in units of the cell vectors:
Tb (0.0000, 0.0000, 0.0000)
Tm (0.7500, 0.7500, 0.7500)
Al (0.3751, 0.3751, 0.3751)
Al (0.3751, 0.3751, 0.8748)
Al (0.3751, 0.8748, 0.3751)
Al (0.8748, 0.3751, 0.3751)

The calculation puts the energy of formation at -0.5087 eV/atom. The value obtained for the total magnetization is 0.00 μB per formula unit.

***

Record 4
Density functional theory data (GGA-PBE) for a relaxed structure of Sr3In5Te12.

abc: 15.7675 15.7675 15.7675
angles: 109.47 109.47 109.47
Sites, in units of the cell vectors:
Sr (0.1250, 0.2500, 0.3750)
Sr (0.1250, 0.3750, 0.7500)
Sr (0.2500, 0.3750, 0.1250)
Sr (0.2500, 0.8750, 0.6250)
Sr (0.3750, 0.1250, 0.2500)
Sr (0.3750, 0.7500, 0.1250)
Sr (0.6250, 0.2500, 0.8750)
Sr (0.6250, 0.8750, 0.7500)
Sr (0.7500, 0.1250, 0.3750)
Sr (0.7500, 0.6250, 0.8750)
Sr (0.8750, 0.6250, 0.2500)
Sr (0.8750, 0.7500, 0.6250)
In (0.0000, 0.0000, 0.0000)
In (0.0000, 0.0000, 0.5000)
In (0.0000, 0.5000, 0.0000)
In (0.0000, 0.5000, 0.5000)
In (0.1250, 0.7500, 0.8750)
In (0.1250, 0.8750, 0.2500)
In (0.2500, 0.1250, 0.8750)
In (0.2500, 0.6250, 0.3750)
In (0.3750, 0.2500, 0.6250)
In (0.3750, 0.6250, 0.7500)
In (0.5000, 0.0000, 0.0000)
In (0.5000, 0.0000, 0.5000)
In (0.5000, 0.5000, 0.0000)
In (0.5000, 0.5000, 0.5000)
In (0.6250, 0.3750, 0.2500)
In (0.6250, 0.7500, 0.3750)
In (0.7500, 0.3750, 0.6250)
In (0.7500, 0.8750, 0.1250)
In (0.8750, 0.1250, 0.7500)
In (0.8750, 0.2500, 0.1250)
Te (0.0395, 0.2135, 0.1256)
Te (0.0395, 0.3260, 0.9139)
Te (0.0861, 0.6256, 0.4121)
Te (0.0861, 0.9605, 0.6740)
Te (0.0879, 0.7135, 0.6740)
Te (0.0879, 0.8744, 0.4139)
Te (0.1256, 0.0395, 0.2135)
Te (0.1256, 0.5861, 0.9121)
Te (0.1740, 0.2135, 0.5879)
Te (0.1740, 0.4605, 0.5861)
Te (0.2135, 0.1256, 0.0395)
Te (0.2135, 0.5879, 0.1740)
Te (0.2865, 0.3260, 0.9121)
Te (0.2865, 0.4605, 0.3744)
Te (0.3260, 0.9121, 0.2865)
Te (0.3260, 0.9139, 0.0395)
Te (0.3744, 0.2865, 0.4605)
Te (0.3744, 0.5879, 0.9139)
Te (0.4121, 0.0861, 0.6256)
Te (0.4121, 0.8260, 0.7865)
Te (0.4139, 0.0879, 0.8744)
Te (0.4139, 0.8260, 0.5395)
Te (0.4605, 0.3744, 0.2865)
Te (0.4605, 0.5861, 0.1740)
Te (0.5395, 0.4139, 0.8260)
Te (0.5395, 0.6256, 0.7135)
Te (0.5861, 0.1740, 0.4605)
Te (0.5861, 0.9121, 0.1256)
Te (0.5879, 0.1740, 0.2135)
Te (0.5879, 0.9139, 0.3744)
Te (0.6256, 0.4121, 0.0861)
Te (0.6256, 0.7135, 0.5395)
Te (0.6740, 0.0861, 0.9605)
Te (0.6740, 0.0879, 0.7135)
Te (0.7135, 0.5395, 0.6256)
Te (0.7135, 0.6740, 0.0879)
Te (0.7865, 0.4121, 0.8260)
Te (0.7865, 0.8744, 0.9605)
Te (0.8260, 0.5395, 0.4139)
Te (0.8260, 0.7865, 0.4121)
Te (0.8744, 0.4139, 0.0879)
Te (0.8744, 0.9605, 0.7865)
Te (0.9121, 0.1256, 0.5861)
Te (0.9121, 0.2865, 0.3260)
Te (0.9139, 0.0395, 0.3260)
Te (0.9139, 0.3744, 0.5879)
Te (0.9605, 0.6740, 0.0861)
Te (0.9605, 0.7865, 0.8744)

The value obtained for the calculated total energy is -3.403 eV/atom. The value obtained for the total magnetization is 0.00 μB per formula unit.

***

Record 5
Density functional theory data (GGA-PBE) for a relaxed structure of Ce5Ga2Ir5.

abc: 7.0289 7.0289 10.6661
angles: 100.58 100.58 31.65
Sites, in units of the cell vectors:
Ce (0.0000, 0.0000, 0.0000)
Ce (0.1441, 0.1441, 0.5589)
Ce (0.2596, 0.2596, 0.8618)
Ce (0.7404, 0.7404, 0.1382)
Ce (0.8559, 0.8559, 0.4411)
Ga (0.4454, 0.4454, 0.7149)
Ga (0.5546, 0.5546, 0.2851)
Ir (0.1968, 0.1968, 0.3140)
Ir (0.3904, 0.3904, 0.1113)
Ir (0.5000, 0.5000, 0.5000)
Ir (0.6096, 0.6096, 0.8887)
Ir (0.8032, 0.8032, 0.6860)

The calculation puts the energy of formation at -0.6001 eV/atom. The value obtained for the total magnetization is 0.01 μB per formula unit.

***

Record 6
Density functional theory data (GGA-PBE) for a relaxed structure of YHoCdHg.

abc: 5.2704 5.2704 5.2704
angles: 60.00 60.00 60.00
Sites, in units of the cell vectors:
Y (0.0000, 0.0000, 0.0000)
Ho (0.5000, 0.5000, 0.5000)
Cd (0.7500, 0.7500, 0.7500)
Hg (0.2500, 0.2500, 0.2500)

The calculation puts the energy of formation at -0.4117 eV/atom. The value obtained for the total magnetization is 0.00 μB per formula unit.

***

Record 7
Density functional theory data (GGA-PBE) for a relaxed structure of LaTlS2.

abc: 7.9398 7.9398 7.9398
angles: 31.24 31.24 31.24
Sites, in units of the cell vectors:
La (0.0000, 0.0000, 0.0000)
Tl (0.1721, 0.1721, 0.1721)
S (0.3980, 0.3980, 0.3980)
S (0.5962, 0.5962, 0.5962)

The value obtained for the calculated total energy is -5.389 eV/atom. The value obtained for the total magnetization is 0.00 μB per formula unit.

***

Record 8
Density functional theory data (GGA-PBE) for a relaxed structure of TiTlO2.

abc: 7.5012 7.5012 7.5012
angles: 23.70 23.70 23.70
Sites, in units of the cell vectors:
Ti (0.0000, 0.0000, 0.0000)
Tl (0.5000, 0.5000, 0.5000)
O (0.3782, 0.3782, 0.3782)
O (0.6218, 0.6218, 0.6218)

The value obtained for the calculated total energy is -7.130 eV/atom. The value obtained for the total magnetization is 0.28 μB per formula unit.

***

Record 9
Density functional theory data (GGA-PBE) for a relaxed structure of Ca2EuCd.

abc: 5.7394 5.7394 5.7394
angles: 60.00 60.00 60.00
Sites, in units of the cell vectors:
Ca (0.2500, 0.2500, 0.2500)
Ca (0.7500, 0.7500, 0.7500)
Eu (0.0000, 0.0000, 0.0000)
Cd (0.5000, 0.5000, 0.5000)

The calculation puts the energy of formation at -0.0703 eV/atom. The value obtained for the total magnetization is 7.17 μB per formula unit.

***

Record 10
Density functional theory data (GGA-PBE) for a relaxed structure of Nd2ErMnSe5.

abc: 8.9156 8.9156 12.4825
angles: 90.00 90.00 153.62
Sites, in units of the cell vectors:
Nd (0.1178, 0.8822, 0.5000)
Nd (0.1213, 0.8787, 0.8494)
Nd (0.8787, 0.1213, 0.3494)
Nd (0.8822, 0.1178, 0.0000)
Er (0.1824, 0.8176, 0.1790)
Er (0.8176, 0.1824, 0.6790)
Mn (0.4454, 0.5546, 0.5810)
Mn (0.5546, 0.4454, 0.0810)
Se (0.0171, 0.9829, 0.1790)
Se (0.3029, 0.6971, 0.8393)
Se (0.3071, 0.6929, 0.5150)
Se (0.3450, 0.6550, 0.1731)
Se (0.4952, 0.5048, 0.9058)
Se (0.5048, 0.4952, 0.4058)
Se (0.6550, 0.3450, 0.6731)
Se (0.6929, 0.3071, 0.0150)
Se (0.6971, 0.3029, 0.3393)
Se (0.9829, 0.0171, 0.6790)

The value obtained for the calculated total energy is -6.068 eV/atom. The value obtained for the total magnetization is 4.35 μB per formula unit.

***

Record 11
Density functional theory data (GGA-PBE) for a relaxed structure of K3InS3.

abc: 8.0171 8.0171 7.7140
angles: 95.53 95.53 114.02
Sites, in units of the cell vectors:
K (0.1795, 0.8205, 0.0000)
K (0.2429, 0.7571, 0.5000)
K (0.3895, 0.3895, 0.1433)
K (0.6105, 0.6105, 0.8567)
K (0.7571, 0.2429, 0.5000)
K (0.8205, 0.1795, 0.0000)
In (0.1816, 0.1816, 0.6450)
In (0.8184, 0.8184, 0.3550)
S (0.1023, 0.1023, 0.3112)
S (0.1580, 0.4591, 0.7752)
S (0.4591, 0.1580, 0.7752)
S (0.5409, 0.8420, 0.2248)
S (0.8420, 0.5409, 0.2248)
S (0.8977, 0.8977, 0.6888)

The value obtained for the calculated total energy is -3.694 eV/atom. The value obtained for the total magnetization is 0.00 μB per formula unit.

***

Record 12
Density functional theory data (GGA-PBE) for a relaxed structure of Cu2H5Ir.

abc: 3.1506 4.9521 5.1352
angles: 81.77 89.30 71.49
Sites, in units of the cell vectors:
Cu (0.0000, 0.0000, 0.0000)
Cu (0.3076, 0.3859, 0.6280)
H (0.1450, 0.7033, 0.7958)
H (0.1497, 0.7103, 0.2972)
H (0.6011, 0.8012, 0.4990)
H (0.8781, 0.2411, 0.7029)
H (0.8996, 0.2145, 0.2426)
Ir (0.0266, 0.9500, 0.5058)

The value obtained for the calculated total energy is -4.160 eV/atom. The value obtained for the total magnetization is 0.00 μB per formula unit.

***

Record 13
Density functional theory data (GGA-PBE) for a relaxed structure of AcLa5Nd4.

abc: 6.9946 9.5273 11.6929
angles: 90.00 90.00 90.00
Sites, in units of the cell vectors:
Ac (0.2500, 0.2500, 0.1665)
Ac (0.7500, 0.7500, 0.8335)
La (0.0013, 0.5690, 0.2811)
La (0.0013, 0.9310, 0.2811)
La (0.2500, 0.7500, 0.7824)
La (0.4987, 0.5690, 0.2811)
La (0.4987, 0.9310, 0.2811)
La (0.5013, 0.0690, 0.7189)
La (0.5013, 0.4310, 0.7189)
La (0.7500, 0.2500, 0.2176)
La (0.9987, 0.0690, 0.7189)
La (0.9987, 0.4310, 0.7189)
Nd (0.0041, 0.2500, 0.4597)
Nd (0.2500, 0.5591, 0.0060)
Nd (0.2500, 0.9409, 0.0060)
Nd (0.4959, 0.2500, 0.4597)
Nd (0.5041, 0.7500, 0.5403)
Nd (0.7500, 0.0591, 0.9940)
Nd (0.7500, 0.4409, 0.9940)
Nd (0.9959, 0.7500, 0.5403)

The calculation puts the energy of formation at 0.3115 eV/atom. The value obtained for the total magnetization is 0.00 μB per formula unit.

***

Record 14
Density functional theory data (GGA-PBE) for a relaxed structure of LaPmYMg.

abc: 3.7128 3.7128 9.2803
angles: 90.00 90.00 90.00
Sites, in units of the cell vectors:
La (0.0000, 0.0000, 0.0000)
Pm (0.5000, 0.5000, 0.7223)
Y (0.0000, 0.0000, 0.4579)
Mg (0.5000, 0.5000, 0.2418)

The calculation puts the energy of formation at -0.0403 eV/atom. The value obtained for the total magnetization is 0.00 μB per formula unit.

***

Record 15
Density functional theory data (GGA-PBE) for a relaxed structure of Ta4CdOs.

abc: 5.3884 5.3884 5.3884
angles: 60.00 60.00 60.00
Sites, in units of the cell vectors:
Ta (0.1252, 0.1252, 0.1252)
Ta (0.1252, 0.1252, 0.6243)
Ta (0.1252, 0.6243, 0.1252)
Ta (0.6243, 0.1252, 0.1252)
Cd (0.7500, 0.7500, 0.7500)
Os (0.5000, 0.5000, 0.5000)

The calculation puts the energy of formation at 0.4795 eV/atom. The value obtained for the total magnetization is 0.00 μB per formula unit.

***

Record 16
Density functional theory data (GGA-PBE) for a relaxed structure of Pm2YEr6.

abc: 9.5503 9.5503 6.5437
angles: 99.54 99.54 96.28
Sites, in units of the cell vectors:
Pm (0.1184, 0.1683, 0.3723)
Pm (0.1683, 0.1184, 0.8723)
Pm (0.8317, 0.8816, 0.1277)
Pm (0.8816, 0.8317, 0.6277)
Y (0.3825, 0.6175, 0.7500)
Y (0.6175, 0.3825, 0.2500)
Er (0.0378, 0.4397, 0.7286)
Er (0.1501, 0.7756, 0.9957)
Er (0.2244, 0.8499, 0.5043)
Er (0.2762, 0.4585, 0.1852)
Er (0.4397, 0.0378, 0.2286)
Er (0.4585, 0.2762, 0.6852)
Er (0.5415, 0.7238, 0.3148)
Er (0.5603, 0.9622, 0.7714)
Er (0.7238, 0.5415, 0.8148)
Er (0.7756, 0.1501, 0.4957)
Er (0.8499, 0.2244, 0.0043)
Er (0.9622, 0.5603, 0.2714)

The calculation puts the energy of formation at 0.1087 eV/atom. The value obtained for the total magnetization is 0.00 μB per formula unit.

***

Record 17
Density functional theory data (GGA-PBE) for a relaxed structure of Sm2Zn3Au4.

abc: 8.2893 8.2893 8.0247
angles: 90.00 90.00 138.84
Sites, in units of the cell vectors:
Sm (0.1152, 0.8848, 0.9143)
Sm (0.3848, 0.6152, 0.4143)
Sm (0.6152, 0.3848, 0.5857)
Sm (0.8848, 0.1152, 0.0857)
Zn (0.0000, 0.0000, 0.5000)
Zn (0.0277, 0.4723, 0.7500)
Zn (0.4723, 0.0277, 0.2500)
Zn (0.5000, 0.5000, 0.0000)
Zn (0.5277, 0.9723, 0.7500)
Zn (0.9723, 0.5277, 0.2500)
Au (0.1839, 0.8161, 0.5305)
Au (0.2004, 0.2996, 0.7500)
Au (0.2996, 0.2004, 0.2500)
Au (0.3161, 0.6839, 0.0305)
Au (0.6839, 0.3161, 0.9695)
Au (0.7004, 0.7996, 0.7500)
Au (0.7996, 0.7004, 0.2500)
Au (0.8161, 0.1839, 0.4695)

The calculation puts the energy of formation at -0.5649 eV/atom. The value obtained for the total magnetization is 0.00 μB per formula unit.

***

Record 18
Density functional theory data (GGA-PBE) for a relaxed structure of Nd2YCu.

abc: 10.2454 10.2454 10.2454
angles: 20.86 20.86 20.86
Sites, in units of the cell vectors:
Nd (0.0000, 0.0000, 0.0000)
Nd (0.1951, 0.1951, 0.1951)
Y (0.4304, 0.4304, 0.4304)
Cu (0.5978, 0.5978, 0.5978)

The calculation puts the energy of formation at 0.0671 eV/atom. The value obtained for the total magnetization is 0.00 μB per formula unit.